Density functional theory data (PBE) for crystalline Li2SmNiAs2 at its relaxed geometry.

```
Li2SmNiAs2
1.0
-3.0905 1.7208 2.1773
-0.6489 -1.2237 -3.9159
-1.8031 -5.9814 2.1680
Li As Sm Ni
2 2 1 1
Direct
0.3333 0.6667 0.3556 Li
0.6667 0.3333 0.6444 Li
0.6667 0.3333 0.2689 As
0.3333 0.6667 0.7311 As
0.0000 0.0000 0.0000 Sm
0.0000 0.0000 0.5000 Ni
```

Summary:
Total DFT energy (no corrections) (eV/atom): -4.61
V (Å³ per atom): 16.5
M_tot (μB/f.u.): 0.762


Density functional theory data (PBE) for crystalline Li2TbNiAs2 at its relaxed geometry.

```
Li2TbNiAs2
1.0
-3.5243 2.0512 0.7066
0.0203 -3.2635 -2.5450
-1.2757 -3.9200 5.0166
As Li Ni Tb
2 2 1 1
Direct
0.6667 0.3333 0.2633 As
0.3333 0.6667 0.7367 As
0.3333 0.6667 0.3536 Li
0.6667 0.3333 0.6464 Li
0.0000 0.0000 0.5000 Ni
0.0000 0.0000 0.0000 Tb
```

Summary:
Total DFT energy (no corrections) (eV/atom): -4.60
V (Å³ per atom): 16.1
M_tot (μB/f.u.): 0.758


Density functional theory data (PBE) for crystalline LiYNiAs at its relaxed geometry.

```
LiYNiAs
1.0
3.4574 -0.4408 2.7985
-0.1734 -2.9968 3.3119
2.5557 -3.6634 -0.1647
Li Y As Ni
1 1 1 1
Direct
0.2500 0.2500 0.2500 Li
0.5000 0.5000 0.5000 Y
0.0000 0.0000 0.0000 As
0.7500 0.7500 0.7500 Ni
```

Summary:
Total DFT energy (no corrections) (eV/atom): -5.14
V (Å³ per atom): 15.8
M_tot (μB/f.u.): 0.003


Density functional theory data (PBE) for crystalline LiZnNiAs at its relaxed geometry.

```
LiZnNiAs
1.0
0.0000 2.9669 2.9669
2.9669 0.0000 2.9669
2.9669 2.9669 0.0000
As Li Zn Ni
1 1 1 1
Direct
0.5000 0.5000 0.5000 As
0.7500 0.7500 0.7500 Li
0.0000 0.0000 0.0000 Zn
0.2500 0.2500 0.2500 Ni
```

Summary:
Relative energy among the computed polymorphs (eV per formula unit): 0.000
V (Å³ per atom): 13.1
M_tot (μB/f.u.): 0.003


Density functional theory data (PBE) for crystalline LiZrNiAs at its relaxed geometry.

```
LiZrNiAs
1.0
-2.5593 -2.6269 2.3334
-1.8023 1.4341 3.6865
-4.2800 0.7366 0.1837
Li Zr Ni As
1 1 1 1
Direct
0.2500 0.2500 0.2500 Li
0.5000 0.5000 0.5000 Zr
0.7500 0.7500 0.7500 Ni
0.0000 0.0000 0.0000 As
```

Summary:
Total DFT energy (no corrections) (eV/atom): -5.45
V (Å³ per atom): 14.5
M_tot (μB/f.u.): 0.006


Density functional theory data (PBE) for crystalline LiAsOsO at its relaxed geometry.

```
LiAsOsO
1.0
-1.4183 -2.6180 2.4731
-2.5401 -1.9452 -3.5159
4.6343 -3.7261 -1.2866
As Li O Os
2 2 2 2
Direct
0.0000 0.6403 0.7958 As
0.0000 0.3597 0.2958 As
0.5000 0.7709 0.1049 Li
0.5000 0.2291 0.6049 Li
0.5000 0.1200 0.9211 O
0.5000 0.8800 0.4211 O
0.0000 0.1504 0.9321 Os
0.0000 0.8496 0.4321 Os
```

Summary:
Relative energy among the computed polymorphs (eV per formula unit): 0.575
V (Å³ per atom): 14.0
M_tot (μB/f.u.): 0.001


Density functional theory data (PBE) for crystalline LiAsOsO at its relaxed geometry.

```
LiAsOsO
1.0
-2.5540 0.4845 2.2006
-2.1420 -1.5542 -2.1438
1.7978 -7.6912 3.7797
As Os O Li
2 2 2 2
Direct
0.2500 0.2500 0.7146 As
0.7500 0.7500 0.2854 As
0.7500 0.7500 0.8461 Os
0.2500 0.2500 0.1539 Os
0.2500 0.7500 0.0000 O
0.7500 0.2500 0.0000 O
0.2500 0.7500 0.5000 Li
0.7500 0.2500 0.5000 Li
```

Summary:
Relative energy among the computed polymorphs (eV per formula unit): 2.670
V (Å³ per atom): 12.7
M_tot (μB/f.u.): 0.004


Density functional theory data (PBE) for crystalline LiAsOsO at its relaxed geometry.

```
LiAsOsO
1.0
3.7553 0.0000 0.0000
0.0000 3.7553 0.0000
0.0000 0.0000 8.0788
O Os As Li
2 2 2 2
Direct
0.7500 0.2500 0.0000 O
0.2500 0.7500 0.0000 O
0.2500 0.7500 0.5000 Os
0.7500 0.2500 0.5000 Os
0.7500 0.7500 0.2863 As
0.2500 0.2500 0.7137 As
0.2500 0.2500 0.0555 Li
0.7500 0.7500 0.9445 Li
```

Summary:
Relative energy among the computed polymorphs (eV per formula unit): 1.510
V (Å³ per atom): 14.2
M_tot (μB/f.u.): 0.001


The highest M_tot belongs to which entry? Li2SmNiAs2


Look up the M_tot of the sixth one. 0.001 μB/f.u.


M_tot of number 3 (LiYNiAs)? 0.003 μB/f.u.